DFT (GGA-PBE) results for a relaxed structure of Y3ScRe.

abc: 5.2725 5.2725 5.2725
angles: 90.00 90.00 90.00
With the nearest neighbours (Å) after each atom.
Space group Pm-3m (No. 221)
Symmetry-distinct sites (fractional):
Y 0.0000 0.0000 0.5000  2 Sc 2.64
Sc 0.0000 0.0000 0.0000  6 Y 2.64
Re 0.5000 0.5000 0.5000  12 Y 3.73

Calculated values
D(E_F)   1.5799 states/eV/atom
Crystal system   cubic
Energy relative to the elements   1555 meV/atom
Energy above the lowest structure with this stoichiometry   1175 meV/atom

---

DFT (GGA-PBE) results for a relaxed structure of TaSbTe2As.

abc: 5.3203 5.3203 5.1257
angles: 90.00 90.00 90.00
With the nearest neighbours (Å) after each atom.
Space group P4/mmm (No. 123)
Symmetry-distinct sites (fractional):
Ta 0.0000 0.0000 0.0000  8 Te 3.69, 4 Sb 3.76
Sb 0.5000 0.5000 0.0000  2 As 2.56
Te 0.0000 0.5000 0.5000  2 As 2.66
As 0.5000 0.5000 0.5000  2 Sb 2.56, 4 Te 2.66

Calculated values
D(E_F)   0.9178 states/eV/atom
Crystal system   tetragonal
Energy above the lowest structure with this stoichiometry   579 meV/atom
Energy relative to the elements, uncorrected   1.1973 eV/atom

---

DFT (GGA-PBE) results for a relaxed structure of ZrBeZnPt.

abc: 6.1786 6.1786 6.1786
angles: 90.00 90.00 90.00
With the nearest neighbours (Å) after each atom.
Space group F-43m (No. 216)
Symmetry-distinct sites (fractional):
Zr 0.0000 0.0000 0.0000  4 Be 2.68, 4 Zn 2.68
Be 0.2500 0.2500 0.7500  4 Zr 2.68, 4 Pt 2.68
Zn 0.2500 0.2500 0.2500  4 Zr 2.68, 4 Pt 2.68
Pt 0.0000 0.0000 0.5000  4 Be 2.68, 4 Zn 2.68

Calculated values
D(E_F)   0.4918 states/eV/atom
Crystal system   cubic
Energy relative to the elements   -469 meV/atom